1.
Ba2SnI PBE relaxed; relative energy among the computed polymorphs = 6.2 kJ/mol of atoms; ΔE_f (raw) = -0.97 eV/atom; symmetry = No. 160; uncorrected energy = -3.317 eV/atom
1.0
4.831 0.000 0.000
2.416 4.184 0.000
2.416 1.395 9.293
Ba Sn I
2 1 1
Direct
0.076 0.076 0.772 Ba
0.259 0.259 0.224 Ba
0.667 0.667 0.998 Sn
0.498 0.498 0.505 I

***

2.
Ba3SnI3 PBE relaxed; ΔE_f (raw) = -1.17 eV/atom; symmetry = No. 12; uncorrected energy = -3.226 eV/atom
1.0
10.283 -0.838 -1.740
-2.265 8.422 -4.216
-0.685 -0.922 9.619
Ba Sn I
6 2 6
Direct
0.724 0.036 0.036 Ba
0.229 0.235 0.543 Ba
0.771 0.765 0.457 Ba
0.771 0.457 0.765 Ba
0.229 0.543 0.235 Ba
0.276 0.964 0.964 Ba
0.081 0.166 0.166 Sn
0.919 0.834 0.834 Sn
0.601 0.338 0.338 I
0.000 0.749 0.251 I
0.500 0.191 0.809 I
0.000 0.251 0.749 I
0.399 0.662 0.662 I
0.500 0.809 0.191 I

***

3.
Ba5Sn2I2 PBE relaxed; ΔE_f (raw) = -1.00 eV/atom; symmetry = No. 64; uncorrected energy = -3.297 eV/atom
1.0
-1.696 -0.446 9.678
-7.230 -6.451 -1.565
9.428 -3.463 1.492
Sn Ba I
4 10 4
Direct
0.158 0.658 0.000 Sn
0.842 0.342 0.000 Sn
0.658 0.842 0.000 Sn
0.342 0.158 0.000 Sn
0.000 0.000 0.000 Ba
0.358 0.739 0.768 Ba
0.858 0.529 0.768 Ba
0.642 0.029 0.768 Ba
0.500 0.500 0.000 Ba
0.642 0.261 0.232 Ba
0.358 0.971 0.232 Ba
0.142 0.471 0.232 Ba
0.142 0.239 0.768 Ba
0.858 0.761 0.232 Ba
0.000 0.204 0.409 I
0.500 0.296 0.591 I
0.500 0.704 0.409 I
0.000 0.796 0.591 I

***

4.
Ba4SnI4 PBE relaxed; ΔE_f (raw) = -1.42 eV/atom; symmetry = No. 12; uncorrected energy = -3.407 eV/atom
1.0
4.981 0.000 1.177
2.082 8.427 2.320
-0.047 0.178 11.327
Ba Sn I
4 1 4
Direct
0.690 0.897 0.722 Ba
0.310 0.103 0.278 Ba
0.918 0.266 0.897 Ba
0.082 0.734 0.103 Ba
0.500 0.000 0.000 Sn
0.119 0.169 0.594 I
0.881 0.831 0.406 I
0.703 0.404 0.190 I
0.297 0.596 0.810 I